VASP calculation (PBE) on a relaxed YCo2Ge2 crystal.

Its density of states at the Fermi level is 0.83 states/eV per atom.

It has space group P4/mbm (No. 127), with a = 7.2389 Å, b = 7.2389 Å, c = 2.9145 Å, α = 90.00°, β = 90.00° and γ = 90.00°. The asymmetric unit holds Y at (0.0000, 0.0000, 0.0000), Co at (0.1284, 0.3716, 0.0000) and Ge at (0.1570, 0.6570, 0.5000).

***

VASP calculation (PBE) on a relaxed Y2Co2Ge crystal.

Its energy above the most stable polymorph in this dataset is 132 meV/atom. Its density of states at the Fermi level is 0.90 states/eV per atom.

It has space group P4/mbm (No. 127), with a = 6.7499 Å, b = 6.7499 Å, c = 4.0575 Å, α = 90.00°, β = 90.00° and γ = 90.00°. The asymmetric unit holds Y at (0.1837, 0.3163, 0.0000), Co at (0.1180, 0.6180, 0.5000) and Ge at (0.0000, 0.0000, 0.5000).

***

VASP calculation (PBE) on a relaxed Y2CoGe3 crystal.

Its energy above the most stable polymorph in this dataset is 3 meV/atom. Its density of states at the Fermi level is 0.59 states/eV per atom.

It has space group Pmm2 (No. 25), with a = 4.0396 Å, b = 4.2080 Å, c = 7.0816 Å, α = 90.00°, β = 90.00° and γ = 90.00°. The asymmetric unit holds Y at (0.0000, 0.0000, 0.0000), Y at (0.0000, 0.5000, 0.4810), Co at (0.5000, 0.0000, 0.2997), Ge at (0.5000, 0.0000, 0.6234), Ge at (0.5000, 0.5000, 0.1724) and Ge at (0.5000, 0.5000, 0.8194).

***

VASP calculation (PBE) on a relaxed Y3Co2Ge4 crystal.

Its energy above the most stable polymorph in this dataset is 74 meV/atom. Its density of states at the Fermi level is 0.81 states/eV per atom.

It has space group C2/m (No. 12), with a = 10.7350 Å, b = 4.1216 Å, c = 8.1781 Å, α = 90.00°, β = 102.56° and γ = 90.00°. The asymmetric unit holds Y at (0.0000, 0.0000, 0.0000), Y at (0.1608, 0.5000, 0.6572), Co at (0.1069, 0.5000, 0.2813), Ge at (0.0610, 0.0000, 0.3774) and Ge at (0.2185, 0.5000, 0.0740).

***

VASP calculation (PBE) on a relaxed YCo4Ge crystal.

Its density of states at the Fermi level is 1.98 states/eV per atom.

It has space group Cmmm (No. 65), with a = 4.9685 Å, b = 8.5413 Å, c = 3.9905 Å, α = 90.00°, β = 90.00° and γ = 90.00°. The asymmetric unit holds Y at (0.0000, 0.0000, 0.0000), Co at (0.0000, 0.3275, 0.0000), Co at (0.2500, 0.2500, 0.5000) and Ge at (0.0000, 0.5000, 0.5000).

***

VASP calculation (PBE) on a relaxed Y2CoGe crystal.

Its density of states at the Fermi level is 1.00 states/eV per atom.

It has space group I-42d (No. 122), with a = 7.4668 Å, b = 7.4668 Å, c = 6.4684 Å, α = 90.00°, β = 90.00° and γ = 90.00°. The asymmetric unit holds Y at (0.2145, 0.7500, 0.1250), Co at (0.0000, 0.0000, 0.0000) and Ge at (0.0000, 0.0000, 0.5000).

***

| no. | energy of formation (eV per atom) |
| --- | --- |
| 1 | -0.190 |
| 2 | -0.339 |
| 3 | -0.641 |
| 4 | -0.656 |
| 5 | -0.245 |
| 6 | -0.035 |